Record 1
DFT (GGA-PBE) results for a relaxed Sc2ZnRe crystal.

a b c (Å): 9.9991 9.9991 9.9991
angles (deg): 18.06 18.06 18.06
With the nearest neighbours (Å) after each atom.
Element x y z (fractional)
Re  0.5000  0.5000  0.5000  6 Sc 2.70
Sc  0.9014  0.9014  0.9013  3 Re 2.70, 1 Zn 2.91
Sc  0.0986  0.0987  0.0986  3 Re 2.70, 1 Zn 2.91
Zn  0.0000  0.0000  0.0000  2 Sc 2.91, 6 Zn 3.14

Calculated values
M_tot	0.0	μB/f.u.
volume	20.98	Å³/atom
uncorrected energy	-6.331	eV per atom

=====

Record 2
DFT (GGA-PBE) results for a relaxed Sc6Zn5Re crystal.

a b c (Å): 4.7093 6.6781 7.4474
angles (deg): 90.00 71.57 90.00
With the nearest neighbours (Å) after each atom.
Element x y z (fractional)
Sc  0.8380  0.2431  0.3240  1 Re 2.81, 7 Zn 2.86-2.96
Sc  0.1620  0.2431  0.6760  1 Re 2.81, 7 Zn 2.86-2.96
Sc  0.1620  0.7569  0.6760  1 Re 2.81, 7 Zn 2.86-2.96
Sc  0.5000  0.2393  0.0000  6 Zn 2.84-2.94, 2 Re 2.85
Sc  0.5000  0.7607  0.0000  6 Zn 2.84-2.94, 2 Re 2.85
Sc  0.8380  0.7569  0.3240  1 Re 2.81, 7 Zn 2.86-2.96
Re  0.0000  0.0000  0.0000  8 Sc 2.81-2.85
Zn  0.6676  0.5000  0.6648  8 Sc 2.91-2.96
Zn  0.3324  0.5000  0.3352  8 Sc 2.91-2.96
Zn  0.3339  0.0000  0.3322  8 Sc 2.84-2.92
Zn  0.6661  0.0000  0.6678  8 Sc 2.84-2.92
Zn  0.0000  0.5000  0.0000  8 Sc 2.86-2.93

Calculated values
M_tot	0.0	μB/f.u.
volume	18.52	Å³/atom
uncorrected energy	-5.083	eV per atom

=====

Record 3
DFT (GGA-PBE) results for a relaxed ScZnRe2 crystal.

a b c (Å): 3.8150 3.8150 4.3602
angles (deg): 90.00 90.00 90.00
With the nearest neighbours (Å) after each atom.
Element x y z (fractional)
Re  0.5000  0.5000  0.0000  4 Re 2.70, 4 Zn 2.90, 4 Sc 2.90
Re  0.0000  0.0000  0.0000  4 Re 2.70, 4 Sc 2.90, 4 Zn 2.90
Sc  0.5000  0.0000  0.5000  4 Zn 2.70, 8 Re 2.90
Zn  0.0000  0.5000  0.5000  4 Sc 2.70, 8 Re 2.90

Calculated values
M_tot	0.0	μB/f.u.
volume	15.87	Å³/atom
uncorrected energy	-8.036	eV per atom

=====

Record 4
DFT (GGA-PBE) results for a relaxed Sc2ZnRe crystal.

a b c (Å): 5.3523 5.3523 5.3523
angles (deg): 141.08 131.03 64.25
With the nearest neighbours (Å) after each atom.
Element x y z (fractional)
Sc  0.2607  0.7607  0.5000  4 Re 2.85, 4 Zn 2.92-3.14, 4 Sc 3.02-3.05
Sc  0.9874  0.9874  0.0000  4 Zn 2.86, 4 Re 2.89-3.16, 4 Sc 3.02-3.05
Zn  0.5158  0.5158  0.0000  2 Re 2.68, 6 Sc 2.86-2.92
Re  0.7361  0.2361  0.5000  2 Zn 2.68, 6 Sc 2.85-2.89

Calculated values
M_tot	0.0	μB/f.u.
volume	17.93	Å³/atom
uncorrected energy	-6.661	eV per atom